Entry 1:
4
Lattice="0.000 3.136 3.136 3.136 0.000 3.136 3.136 3.136 0.000" Properties=species:S:1:pos:R:3 comment="CrNiSnPd, relaxed, DFT PBE-GGA" formation_enthalpy_0k_kj_per_mol_fu=-45 space_group="No. 216" final_energy_ev_per_atom=-6.27 m_tot_mub_per_cell=3.63 pbc="T T T"
Cr 0.000 0.000 0.000
Ni 4.704 4.704 4.704
Sn 3.136 3.136 3.136
Pd 1.568 1.568 1.568



Entry 2:
5
Lattice="4.816 0.000 0.000 0.000 4.816 0.000 0.000 0.000 4.618" Properties=species:S:1:pos:R:3 comment="Mg2TiTcAs, relaxed, DFT PBE-GGA" formation_enthalpy_0k_kj_per_mol_fu=342 space_group="No. 123" final_energy_ev_per_atom=-4.51 m_tot_mub_per_cell=0.00 pbc="T T T"
Mg 0.000 2.408 0.000
Mg 2.408 0.000 0.000
Ti 0.000 0.000 2.309
Tc 2.408 2.408 2.309
As 2.408 2.408 0.000



Entry 3:
5
Lattice="5.146 0.000 0.000 0.000 5.146 0.000 0.000 0.000 4.969" Properties=species:S:1:pos:R:3 comment="Li2MgTcH, relaxed, DFT PBE-GGA" space_group="No. 123" final_energy_ev_per_atom=-2.38 m_tot_mub_per_cell=2.84 pbc="T T T"
Li 0.000 2.573 0.000
Li 2.573 0.000 0.000
Mg 0.000 0.000 0.000
Tc 0.000 0.000 2.485
H 2.573 2.573 2.485



Entry 4:
4
Lattice="1.744 1.007 11.044 -1.744 1.007 11.044 0.000 -2.014 11.044" Properties=species:S:1:pos:R:3 comment="LaYSc2, relaxed, DFT PBE-GGA" formation_enthalpy_0k_kj_per_mol_fu=30 space_group="No. 166" final_energy_ev_per_atom=-5.93 m_tot_mub_per_cell=0.00 pbc="T T T"
La 0.000 0.000 0.000
Y 0.000 0.000 16.565
Sc 0.000 0.000 8.244
Sc 0.000 0.000 24.886



Entry 5:
10
Lattice="-4.769 4.769 3.020 4.769 -4.769 3.020 4.769 4.769 -3.020" Properties=species:S:1:pos:R:3 comment="Pr4ErAs5, relaxed, DFT PBE-GGA" formation_enthalpy_0k_kj_per_mol_fu=-1438 space_group="No. 87" final_energy_ev_per_atom=-6.18 m_tot_mub_per_cell=0.00 pbc="T T T"
Pr 6.679 0.936 0.000
Pr 0.936 2.859 0.000
Pr 3.833 1.910 3.020
Pr -1.910 3.833 3.020
Er 0.000 0.000 3.020
As 0.000 0.000 0.000
As 3.836 1.973 0.000
As 2.795 -0.933 3.020
As 1.973 5.702 0.000
As 0.933 2.795 3.020



Entry 6:
10
Lattice="0.000 4.642 4.642 4.642 0.000 4.642 4.642 4.642 0.000" Properties=species:S:1:pos:R:3 comment="Cs2SrTaF6, relaxed, DFT PBE-GGA" space_group="No. 225" final_energy_ev_per_atom=-5.35 m_tot_mub_per_cell=3.00 formation_energy_uncorrected_mev_per_atom=-2701.2 pbc="T T T"
Cs 2.321 2.321 2.321
Cs 6.964 6.964 6.964
Sr 0.000 0.000 0.000
Ta 4.642 4.642 4.642
F 4.642 4.642 2.414
F 4.642 2.414 4.642
F 6.870 4.642 4.642
F 2.414 4.642 4.642
F 4.642 6.870 4.642
F 4.642 4.642 6.870



Entry 7:
12
Lattice="4.017 -6.953 0.000 4.017 6.953 0.000 -2.679 0.000 8.167" Properties=species:S:1:pos:R:3 comment="AcPm2Tl3Te6, relaxed, DFT PBE-GGA" space_group="No. 12" final_energy_ev_per_atom=-4.39 m_tot_mub_per_cell=0.00 formation_energy_uncorrected_mev_per_atom=-1094.8 pbc="T T T"
Ac 0.000 0.000 0.000
Pm 4.017 2.323 0.000
Pm 4.017 -2.323 0.000
Tl 2.678 4.675 4.083
Tl 2.678 0.000 4.083
Tl 2.678 -4.675 4.083
Te 1.392 2.406 1.820
Te 0.103 0.000 6.371
Te 1.392 -2.406 1.820
Te 3.964 2.406 6.347
Te 5.252 0.000 1.796
Te 3.964 -2.406 6.347



Entry 8:
4
Lattice="0.000 3.879 3.879 3.879 0.000 3.879 3.879 3.879 0.000" Properties=species:S:1:pos:R:3 comment="LaHoTmHg, relaxed, DFT PBE-GGA" formation_enthalpy_0k_kj_per_mol_fu=-29 space_group="No. 216" final_energy_ev_per_atom=-3.65 m_tot_mub_per_cell=0.09 pbc="T T T"
La 0.000 0.000 0.000
Ho 3.879 3.879 3.879
Tm 1.940 1.940 1.940
Hg 5.819 5.819 5.819



Entry 9:
4
Lattice="4.857 0.000 0.000 0.000 4.857 0.000 0.000 0.000 2.874" Properties=species:S:1:pos:R:3 comment="TlIr2W, relaxed, DFT PBE-GGA" formation_enthalpy_0k_kj_per_mol_fu=209 space_group="No. 123" final_energy_ev_per_atom=-7.72 m_tot_mub_per_cell=0.00 pbc="T T T"
Tl 0.000 0.000 0.000
Ir 0.000 2.428 1.437
Ir 2.428 0.000 1.437
W 2.428 2.428 0.000



Entry 10:
16
Lattice="5.711 0.000 0.000 -2.856 4.946 0.000 0.000 0.000 9.836" Properties=species:S:1:pos:R:3 comment="Ta3Rh, relaxed, DFT PBE-GGA" formation_enthalpy_0k_kj_per_mol_fu=-25 space_group="No. 194" final_energy_ev_per_atom=-10.79 m_tot_mub_per_cell=0.00 pbc="T T T"
Ta -1.428 2.473 0.000
Ta -1.428 2.473 4.918
Ta 0.000 1.630 2.459
Ta -1.444 4.131 2.459
Ta 1.411 0.815 7.377
Ta 2.856 0.000 0.000
Ta 2.856 0.000 4.918
Ta 1.428 2.473 0.000
Ta 1.428 2.473 4.918
Ta 1.444 4.131 2.459
Ta 4.300 0.815 7.377
Ta 2.856 3.317 7.377
Rh 0.000 0.000 0.000
Rh 0.000 0.000 4.918
Rh 0.000 3.298 7.377
Rh 2.856 1.649 2.459



Entry 11:
5
Lattice="5.336 0.000 0.000 0.000 5.336 0.000 0.000 0.000 5.586" Properties=species:S:1:pos:R:3 comment="SrTlHg2Pd, relaxed, DFT PBE-GGA" formation_enthalpy_0k_kj_per_mol_fu=-92 space_group="No. 123" final_energy_ev_per_atom=-2.16 m_tot_mub_per_cell=0.00 pbc="T T T"
Sr 0.000 0.000 0.000
Tl 2.668 2.668 0.000
Hg 0.000 2.668 2.793
Hg 2.668 0.000 2.793
Pd 0.000 0.000 2.793



Entry 12:
5
Lattice="4.008 0.000 0.000 0.000 4.008 0.000 0.000 0.000 5.352" Properties=species:S:1:pos:R:3 comment="GePdSeN2, relaxed, DFT PBE-GGA" space_group="No. 123" final_energy_ev_per_atom=-4.67 m_tot_mub_per_cell=3.14 formation_energy_uncorrected_mev_per_atom=1317.1 pbc="T T T"
Ge 0.000 0.000 0.000
Pd 2.004 2.004 2.676
Se 2.004 2.004 0.000
N 0.000 2.004 2.676
N 2.004 0.000 2.676